(1)
A plane-wave DFT calculation with PBE-GGA was carried out for a geometry-optimized Cs3Sm3HoTe8 structure.

a b c (Å): 8.9894 8.9894 27.7036
angles (deg): 90.00 90.00 120.00
Space group R-3m (No. 166, hexagonal axes)
Inequivalent atoms, fractional coordinates:
Cs1 0.0000 0.5000 0.0000 [9 per cell]
Sm1 0.0000 0.5000 0.5000 [9 per cell]
Ho1 0.0000 0.0000 0.5000 [3 per cell]
Te1 0.0000 0.0000 0.2315 [6 per cell]
Te2 0.0044 0.5022 0.2303 [18 per cell]

Summary:
As for the crystal system: trigonal. For the total energy, the calculation gives -4.4264 eV per atom. The value obtained for the uncorrected formation energy is -1.331 eV/atom. The value obtained for the density of states at the Fermi level is 25.5 states/eV/cell. The total magnetization comes out at 0.00 μB/cell.


(2)
A plane-wave DFT calculation with PBE-GGA was carried out for a geometry-optimized CsTbHoTe3 structure.

a b c (Å): 9.674 4.934 11.352
angles (deg): 90.00 113.96 90.00
Space group P2_1/m (No. 11)
Inequivalent atoms, fractional coordinates:
Cs1 0.011 0.250 0.249 [2 per cell]
Tb1 0.449 0.250 0.117 [2 per cell]
Ho1 0.498 0.250 0.629 [2 per cell]
Te1 0.236 0.750 0.122 [2 per cell]
Te2 0.319 0.750 0.539 [2 per cell]
Te3 0.332 0.250 0.826 [2 per cell]

Summary:
As for the crystal system: monoclinic. For the total energy, the calculation gives -4.4873 eV per atom. The value obtained for the uncorrected formation energy is -1.240 eV/atom. The value obtained for the density of states at the Fermi level is 7.3 states/eV/cell. The total magnetization comes out at 0.00 μB/cell.


(3)
A plane-wave DFT calculation with PBE-GGA was carried out for a geometry-optimized Cs3Tb3HoTe8 structure.

a b c (Å): 8.8735 8.8735 27.6750
angles (deg): 90.00 90.00 120.00
Space group R-3m (No. 166, hexagonal axes)
Inequivalent atoms, fractional coordinates:
Cs1 0.0000 0.5000 0.0000 [9 per cell]
Tb1 0.0000 0.5000 0.5000 [9 per cell]
Ho1 0.0000 0.0000 0.5000 [3 per cell]
Te1 0.0000 0.0000 0.2305 [6 per cell]
Te2 0.0000 0.5000 0.2301 [18 per cell]

Summary:
As for the crystal system: trigonal. For the total energy, the calculation gives -4.4055 eV per atom. The value obtained for the uncorrected formation energy is -1.328 eV/atom. The value obtained for the density of states at the Fermi level is 22.5 states/eV/cell. The total magnetization comes out at 0.00 μB/cell.


(4)
A plane-wave DFT calculation with PBE-GGA was carried out for a geometry-optimized Cs3Tb2HoTe6 structure.

a b c (Å): 7.897 13.678 9.301
angles (deg): 90.00 106.44 90.00
Space group C2/m (No. 12)
Inequivalent atoms, fractional coordinates:
Cs1 0.000 0.000 0.000 [2 per cell]
Cs2 0.000 0.333 0.000 [4 per cell]
Tb1 0.000 0.167 0.500 [4 per cell]
Ho1 0.000 0.500 0.500 [2 per cell]
Te1 0.229 0.334 0.690 [8 per cell]
Te2 0.232 0.000 0.690 [4 per cell]

Summary:
As for the crystal system: monoclinic. For the total energy, the calculation gives -4.3257 eV per atom. The value obtained for the uncorrected formation energy is -1.388 eV/atom. The total magnetization comes out at 0.00 μB/cell.


(5)
A plane-wave DFT calculation with PBE-GGA was carried out for a geometry-optimized Cs4TbHo3Te8 structure.

a b c (Å): 9.0936 9.0936 26.7526
angles (deg): 90.00 90.00 120.00
Space group R-3m (No. 166, hexagonal axes)
Inequivalent atoms, fractional coordinates:
Cs1 0.0000 0.0000 0.0000 [3 per cell]
Cs2 0.0000 0.5000 0.0000 [9 per cell]
Tb1 0.0000 0.0000 0.5000 [3 per cell]
Ho1 0.0000 0.5000 0.5000 [9 per cell]
Te1 0.0000 0.0000 0.2296 [6 per cell]
Te2 0.0017 0.5008 0.7702 [18 per cell]

Summary:
As for the crystal system: trigonal. For the total energy, the calculation gives -4.3136 eV per atom. The value obtained for the uncorrected formation energy is -1.382 eV/atom. The total magnetization comes out at 0.00 μB/cell.


(6)
A plane-wave DFT calculation with PBE-GGA was carried out for a geometry-optimized CsHoTe structure.

a b c (Å): 6.740 6.748 13.538
angles (deg): 90.00 103.39 90.00
Space group C2/m (No. 12)
Inequivalent atoms, fractional coordinates:
Cs1 0.141 0.000 0.304 [4 per cell]
Ho1 0.250 0.250 0.000 [4 per cell]
Te1 0.073 0.500 0.158 [4 per cell]

Summary:
As for the crystal system: monoclinic. For the total energy, the calculation gives -3.6750 eV per atom. The value obtained for the uncorrected formation energy is -0.817 eV/atom. The value obtained for the density of states at the Fermi level is 10.9 states/eV/cell. The total magnetization comes out at 0.00 μB/cell.